First-principles (PBE-GGA) data for a geometry-optimized Ti6SnGe3 structure, as listed in the Alexandria database.

Output
* volume: 17.6 Å³ per atom
* size of the total moment: 0.00 μB per atom
* DFT total energy: -138.34 eV for the cell shown

Unit cell a=6.793 b=7.199 c=7.199 alpha=90.85 beta=90.00 gamma=90.00
Fractional positions:
Ti 0.321 0.560 0.946
Ti 0.821 0.946 0.560
Ti 0.166 0.068 0.932
Ti 0.106 0.788 0.212
Ti 0.606 0.212 0.788
Ti 0.666 0.294 0.411
Ti 0.666 0.932 0.068
Ti 0.821 0.440 0.054
Ti 0.321 0.054 0.440
Ti 0.166 0.706 0.589
Ti 0.666 0.589 0.706
Ti 0.166 0.411 0.294
Ge 0.954 0.117 0.244
Ge 0.854 0.611 0.389
Ge 0.954 0.756 0.883
Ge 0.454 0.883 0.756
Ge 0.454 0.244 0.117
Ge 0.354 0.389 0.611
Sn 0.479 0.691 0.309
Sn 0.979 0.309 0.691